[1]
This record from Alexandria describes crystalline HoPdS at its relaxed geometry. The functional is PBE-GGA.

Values from the calculation:
Formation energy (no corrections), eV per atom: -1.336
Crystal system: monoclinic

Cell: 5.151 5.150 6.688 Å, 77.15 102.86 135.84°
Sites, in units of the cell vectors:
Pd 0.878 0.623 0.572
S 0.676 0.823 0.189
Pd 0.122 0.377 0.428
S 0.324 0.177 0.811
Ho 0.606 0.895 0.766
Ho 0.394 0.105 0.234



[2]
This record from Alexandria describes crystalline Ho5PdS4 at its relaxed geometry. The functional is PBE-GGA.

Values from the calculation:
Formation energy (no corrections), eV per atom: -1.731
Crystal system: monoclinic

Cell: 3.856 6.888 8.812 Å, 75.50 77.36 73.75°
Sites, in units of the cell vectors:
S 0.399 0.797 0.405
Ho 0.000 0.500 0.500
S 0.601 0.203 0.595
S 0.800 0.603 0.797
Ho 0.400 0.303 0.898
Pd 0.000 0.000 0.000
S 0.200 0.397 0.203
Ho 0.798 0.098 0.305
Ho 0.600 0.697 0.102
Ho 0.202 0.902 0.695



[3]
This record from Alexandria describes crystalline Ho4PdSeS2 at its relaxed geometry. The functional is PBE-GGA.

Values from the calculation:
Formation energy (no corrections), eV per atom: -1.602
Crystal system: monoclinic

Cell: 3.900 6.979 6.910 Å, 71.37 90.00 90.00°
Sites, in units of the cell vectors:
S 0.500 0.000 0.500
Ho 0.000 0.757 0.752
S 0.000 0.000 0.000
Se 0.000 0.500 0.500
Pd 0.500 0.500 0.000
Ho 0.000 0.243 0.248
Ho 0.500 0.765 0.243
Ho 0.500 0.235 0.757



[4]
This record from Alexandria describes crystalline Ho4Te2PdS at its relaxed geometry. The functional is PBE-GGA.

Values from the calculation:
Formation energy (no corrections), eV per atom: -1.327
Crystal system: monoclinic

Cell: 4.067 7.304 7.374 Å, 108.68 90.00 90.00°
Sites, in units of the cell vectors:
S 0.000 0.000 0.000
Ho 0.500 0.233 0.215
Pd 0.500 0.500 0.000
Te 0.500 0.000 0.500
Ho 0.000 0.732 0.211
Te 0.000 0.500 0.500
Ho 0.500 0.767 0.785
Ho 0.000 0.268 0.789



[5]
This record from Alexandria describes crystalline HoU2PdS6 at its relaxed geometry. The functional is PBE-GGA.

Values from the calculation:
Formation energy (no corrections), eV per atom: -0.947
Crystal system: tetragonal

Cell: 6.759 5.934 5.934 Å, 90.00 90.00 90.00°
Site moments in Bohr magnetons follow the coordinates.
Sites, in units of the cell vectors:
S 0.757 0.759 0.241  -0.08
U 0.008 0.500 0.000  2.11
S 0.167 0.000 0.000  -0.08
S 0.757 0.241 0.759  -0.08
S 0.757 0.759 0.759  -0.08
S 0.161 0.500 0.500  -0.04
Pd 0.519 0.000 0.000  -0.14
U 0.008 0.000 0.500  2.11
Ho 0.554 0.500 0.500  -0.02
S 0.757 0.241 0.241  -0.08



[6]
This record from Alexandria describes crystalline HoSb2Pd8 at its relaxed geometry. The functional is PBE-GGA.

Values from the calculation:
Formation energy (no corrections), eV per atom: -0.478
Crystal system: monoclinic

Cell: 4.650 7.158 7.158 Å, 115.21 101.02 101.02°
Sites, in units of the cell vectors:
Ho 0.500 0.000 0.000
Pd 0.893 0.685 0.925
Pd 0.500 0.771 0.229
Sb 0.000 0.682 0.318
Pd 0.500 0.229 0.771
Pd 0.893 0.925 0.685
Pd 0.107 0.075 0.315
Pd 0.326 0.610 0.610
Pd 0.674 0.390 0.390
Pd 0.107 0.315 0.075
Sb 0.000 0.318 0.682



[7]
This record from Alexandria describes crystalline HoSbPd4 at its relaxed geometry. The functional is PBE-GGA.

Values from the calculation:
Formation energy (no corrections), eV per atom: -0.272
ΔE to the lowest computed polymorph, meV per atom: 282
Crystal system: tetragonal

Cell: 5.420 5.420 8.923 Å, 90.00 90.00 90.00°
Sites, in units of the cell vectors:
Sb 0.500 0.500 0.500
Sb 0.000 0.000 0.000
Pd 0.236 0.500 0.262
Pd 0.500 0.764 0.738
Ho 0.000 0.000 0.500
Pd 0.736 0.000 0.238
Pd 0.000 0.264 0.762
Pd 0.264 0.000 0.238
Pd 0.764 0.500 0.262
Ho 0.500 0.500 0.000
Pd 0.500 0.236 0.738
Pd 0.000 0.736 0.762



[8]
This record from Alexandria describes crystalline Ho5Sb2Pd at its relaxed geometry. The functional is PBE-GGA.

Values from the calculation:
Formation energy (no corrections), eV per atom: -0.836
ΔE to the lowest computed polymorph, meV per atom: 0
Crystal system: orthorhombic

Cell: 7.938 8.916 12.169 Å, 90.00 90.00 90.00°
Sites, in units of the cell vectors:
Ho 0.682 0.953 0.569
Pd 0.083 0.750 0.985
Ho 0.041 0.750 0.501
Ho 0.864 0.750 0.800
Sb 0.566 0.992 0.827
Sb 0.566 0.508 0.827
Ho 0.182 0.453 0.931
Ho 0.636 0.750 0.300
Sb 0.434 0.492 0.173
Ho 0.541 0.250 0.999
Ho 0.182 0.047 0.931
Sb 0.434 0.008 0.173
Sb 0.934 0.992 0.327
Ho 0.818 0.547 0.069
Ho 0.318 0.453 0.431
Ho 0.818 0.953 0.069
Ho 0.136 0.250 0.200
Sb 0.066 0.008 0.673
Ho 0.959 0.250 0.499
Pd 0.583 0.250 0.515
Ho 0.166 0.750 0.214
Sb 0.934 0.508 0.327
Ho 0.318 0.047 0.431
Sb 0.066 0.492 0.673
Pd 0.417 0.750 0.485
Ho 0.682 0.547 0.569
Ho 0.666 0.250 0.286
Ho 0.834 0.250 0.786
Ho 0.459 0.750 0.001
Ho 0.334 0.750 0.714
Pd 0.917 0.250 0.015
Ho 0.364 0.250 0.700



[9]
This record from Alexandria describes crystalline HoSbPd5 at its relaxed geometry. The functional is PBE-GGA.

Values from the calculation:
Formation energy (no corrections), eV per atom: -0.287
ΔE to the lowest computed polymorph, meV per atom: 426
Crystal system: orthorhombic

Cell: 7.381 5.366 5.792 Å, 117.59 129.58 90.00°
Sites, in units of the cell vectors:
Pd 0.741 0.815 0.629
Pd 0.261 0.241 0.000
Sb 0.617 0.000 0.000
Pd 0.261 0.759 0.000
Pd 0.593 0.500 0.000
Ho 0.947 0.500 0.000
Pd 0.111 0.185 0.371



[10]
This record from Alexandria describes crystalline HoSbPd6 at its relaxed geometry. The functional is PBE-GGA.

Values from the calculation:
Formation energy (no corrections), eV per atom: -0.629
ΔE to the lowest computed polymorph, meV per atom: 0
Crystal system: tetragonal

Cell: 4.111 5.747 5.747 Å, 90.00 90.00 90.00°
Sites, in units of the cell vectors:
Pd 0.000 0.749 0.251
Pd 0.000 0.749 0.749
Pd 0.500 0.500 0.000
Pd 0.000 0.251 0.749
Ho 0.500 0.000 0.000
Pd 0.500 0.000 0.500
Sb 0.500 0.500 0.500
Pd 0.000 0.251 0.251



[11]
This record from Alexandria describes crystalline Ho8Sb2Pd at its relaxed geometry. The functional is PBE-GGA.

Values from the calculation:
Formation energy (no corrections), eV per atom: -0.502
Crystal system: monoclinic

Cell: 4.720 7.143 9.566 Å, 97.53 104.28 90.00°
Sites, in units of the cell vectors:
Ho 0.785 0.652 0.570
Sb 0.818 0.225 0.637
Ho 0.649 0.035 0.297
Ho 0.215 0.348 0.430
Ho 0.595 0.512 0.191
Sb 0.182 0.775 0.363
Ho 0.351 0.965 0.703
Ho 0.405 0.488 0.809
Ho 0.003 0.768 0.006
Ho 0.997 0.232 0.994
Pd 0.500 0.000 0.000



[12]
This record from Alexandria describes crystalline Ho2SbPd8 at its relaxed geometry. The functional is PBE-GGA.

Values from the calculation:
Formation energy (no corrections), eV per atom: -0.672
Crystal system: orthorhombic

Cell: 4.726 5.918 8.135 Å, 111.30 106.89 90.00°
Sites, in units of the cell vectors:
Pd 0.641 0.402 0.282
Pd 0.184 0.184 0.367
Sb 0.500 0.000 0.000
Pd 0.000 0.750 0.000
Pd 0.641 0.881 0.282
Ho 0.812 0.312 0.625
Pd 0.359 0.598 0.718
Ho 0.188 0.688 0.375
Pd 0.000 0.250 0.000
Pd 0.816 0.816 0.633
Pd 0.359 0.119 0.718



[13]
This record from Alexandria describes crystalline HoSbPd3 at its relaxed geometry. The functional is PBE-GGA.

Values from the calculation:
Formation energy (no corrections), eV per atom: -0.413
Crystal system: tetragonal

Cell: 5.188 5.188 9.754 Å, 105.42 105.42 90.00°
Sites, in units of the cell vectors:
Pd 0.128 0.875 0.751
Pd 0.705 0.705 0.409
Ho 0.876 0.376 0.752
Pd 0.295 0.295 0.591
Sb 0.000 0.000 0.000
Pd 0.125 0.378 0.249
Pd 0.125 0.872 0.249
Sb 0.250 0.750 0.500
Pd 0.622 0.875 0.751
Ho 0.624 0.124 0.248